NiAgTeF2 | the Alexandria database | GGA+U | optimized geometry; final energy = -2.738 eV/atom
1.0
-4.0139 0.6278 1.5926
1.3860 -1.8378 4.2177
1.1602 3.9827 1.3541
Ni Te Ag F
1 1 1 2
Direct
0.0000 0.5000 0.0000
0.0000 0.0000 0.0000
0.5000 0.5000 0.5000
0.0000 0.0000 0.5000
0.5000 0.0000 0.0000